# NaCuBH6

NaCuBH6 after structural relaxation (GGA-PBE, Alexandria via LeMat-Bulk).

- Density of states at the Fermi level: 0.0757 states/eV per atom
- Volume: 85.38 Å³ per cell
- Electronic total energy: -3.549 eV per atom

a = 4.0965 Å, b = 5.0542 Å, c = 5.2546 Å
α = 101.58°, β = 88.01°, γ = 54.67°
With the nearest neighbours (Å) after each atom.
Fractional positions:
H1 0.5298 0.4804 0.4163  1 B 1.30
H2 0.5716 0.7447 0.1415  1 Cu 1.56
H3 0.4448 0.9187 0.7528  1 Cu 1.54
H4 0.2171 0.3165 0.4720  1 B 1.24
H5 0.4600 0.4112 0.7851  1 B 1.21
H6 0.8554 0.0241 0.4611  1 B 1.25
Na1 0.9110 0.9607 0.9717  7 H 2.29-2.54
Cu1 0.4987 0.8464 0.4493  2 H 1.54-1.56
B1 0.5112 0.2972 0.5501  4 H 1.21-1.30

***

# Cu3B6H2O13

Cu3B6H2O13 after structural relaxation (GGA-PBE, Alexandria via LeMat-Bulk).

- Density of states at the Fermi level: 0.0346 states/eV per atom
- Volume: 389.39 Å³ per cell
- Electronic total energy: -6.893 eV per atom

a = 11.6788 Å, b = 8.8363 Å, c = 8.6386 Å
α = 83.87°, β = 48.79°, γ = 47.35°
With the nearest neighbours (Å) after each atom.
Fractional positions:
O1 0.6548 0.6198 0.4655  2 B 1.49
O2 0.6112 0.8888 0.8888  2 H 0.97
O3 0.0672 0.3343 0.6646  2 B 1.48-1.50
O4 0.9339 0.6646 0.3343  2 B 1.48-1.50
O5 0.2963 0.3695 0.8682  2 B 1.47
O6 0.6861 0.0839 0.3979  2 B 1.48-1.50
O7 0.1661 0.5639 0.4179  2 B 1.48-1.50
O8 0.1148 0.2780 0.1285  2 B 1.50
O9 0.3612 0.6388 0.6388  2 H 0.97
O10 0.1215 0.7713 0.1352  2 B 1.50
O11 0.8321 0.3979 0.0839  2 B 1.48-1.50
O12 0.7845 0.9901 0.5952  2 B 1.49
O13 0.3842 0.1134 0.6207  2 B 1.48-1.49
O14 0.8521 0.4179 0.5639  2 B 1.48-1.50
O15 0.8817 0.6207 0.1134  2 B 1.48-1.49
O16 0.6302 0.5952 0.9901  2 B 1.49
O17 0.9157 0.1828 0.3161  2 B 1.48-1.50
O18 0.9720 0.1352 0.7713  2 B 1.50
O19 0.6293 0.3683 0.8658  2 B 1.48-1.49
O20 0.3818 0.7840 0.9537  2 B 1.47
O21 0.1366 0.8658 0.3683  2 B 1.48-1.49
O22 0.2599 0.4655 0.6198  2 B 1.49
O23 0.4787 0.1285 0.2780  2 B 1.50
O24 0.8805 0.9537 0.7840  2 B 1.47
O25 0.5854 0.3161 0.1828  2 B 1.48-1.50
O26 0.4660 0.8682 0.3695  2 B 1.47
B1 0.8795 0.8758 0.3650  4 O 1.48-1.50
B2 0.3455 0.1130 0.4877  4 O 1.47-1.50
B3 0.4090 0.2553 0.6262  4 O 1.47-1.50
B4 0.7095 0.6262 0.2553  4 O 1.47-1.50
B5 0.7623 0.1961 0.9045  4 O 1.47-1.50
B6 0.0539 0.4877 0.1130  4 O 1.47-1.50
B7 0.8850 0.3704 0.3705  4 O 1.48-1.50
B8 0.9947 0.8410 0.5405  4 O 1.47-1.50
B9 0.1370 0.9045 0.1961  4 O 1.47-1.50
B10 0.8796 0.3650 0.8758  4 O 1.48-1.50
B11 0.3742 0.3705 0.3704  4 O 1.48-1.50
B12 0.6238 0.5405 0.8410  4 O 1.47-1.50
H1 0.2001 0.7157 0.7521  1 O 0.97
H2 0.3321 0.7521 0.7157  1 O 0.97
H3 0.5343 0.0499 0.9179  1 O 0.97
H4 0.4979 0.9179 0.0499  1 O 0.97
Cu1 0.3890 0.9533 0.7904  4 O 1.93-2.02
Cu2 0.7398 0.2602 0.2602  5 O 2.04-2.16
Cu3 0.8672 0.7904 0.9533  4 O 1.93-2.02
Cu4 0.9898 0.5102 0.5102  5 O 2.04-2.16
Cu5 0.2967 0.8610 0.3828  4 O 1.93-2.02
Cu6 0.4596 0.3828 0.8610  4 O 1.93-2.02

***

# Cu2BPH

Cu2BPH after structural relaxation (GGA-PBE, Alexandria via LeMat-Bulk).

- Density of states at the Fermi level: 0.3648 states/eV per atom
- Volume: 62.04 Å³ per cell
- Electronic total energy: -3.884 eV per atom

a = 4.0338 Å, b = 3.8129 Å, c = 4.0338 Å
α = 90.00°, β = 90.00°, γ = 90.00°
With the nearest neighbours (Å) after each atom.
Fractional positions:
Cu1 0.0000 0.0000 0.5000  2 B 2.02
Cu2 0.5000 0.0000 0.0000  2 B 2.02
H1 0.5000 0.5000 0.5000  8 Cu 2.78, 4 P 2.85
B1 0.0000 0.0000 0.0000  2 P 1.91, 4 Cu 2.02
P1 0.0000 0.5000 0.0000  2 B 1.91